Density functional theory data (PBE-GGA) for a relaxed structure of Sc6Sn2H.

Unit cell a=6.363 b=6.363 c=8.993 alpha=90.00 beta=90.00 gamma=90.00
Positions (direct):
Sn: 0.000 0.500 0.250
Sc: 0.000 0.000 0.250
Sn: 0.000 0.500 0.750
Sc: 0.500 0.500 0.750
Sn: 0.500 0.000 0.250
Sc: 0.750 0.250 0.500
H: 0.500 0.500 0.000
Sc: 0.750 0.750 0.500
Sc: 0.250 0.250 0.500
Sc: 0.000 0.000 0.750
Sc: 0.250 0.250 0.000
Sn: 0.500 0.000 0.750
H: 0.000 0.000 0.500
Sc: 0.250 0.750 0.000
Sc: 0.750 0.750 0.000
Sc: 0.750 0.250 0.000
Sc: 0.250 0.750 0.500
Sc: 0.500 0.500 0.250

Computed properties:
Total magnetic moment, μB/f.u.: 3.79
Uncorrected energy, eV/atom: -5.96
Symmetry: Fm-3m, No. 225

Density functional theory data (PBE-GGA) for a relaxed structure of ScSnH.

Unit cell a=5.345 b=6.639 c=5.812 alpha=90.00 beta=90.00 gamma=90.00
Positions (direct):
Sn: 0.500 0.250 0.031
H: 0.999 0.250 0.839
Sc: 0.500 0.500 0.500
H: 0.001 0.750 0.161
Sn: 0.500 0.750 0.969
H: 0.501 0.750 0.339
H: 0.499 0.250 0.661
Sn: 0.000 0.250 0.469
Sc: 0.500 0.000 0.500
Sc: 0.000 0.000 0.000
Sn: 0.000 0.750 0.531
Sc: 0.000 0.500 0.000

Computed properties:
Total magnetic moment, μB/f.u.: 0.00
Uncorrected energy, eV/atom: -4.81
Symmetry: Pnma, No. 62

Density functional theory data (PBE-GGA) for a relaxed structure of Sc2SnH2.

Unit cell a=5.468 b=5.468 c=6.010 alpha=103.78 beta=103.78 gamma=118.40
Positions (direct):
H: 0.502 0.253 0.005
Sc: 0.547 0.453 0.750
H: 0.253 0.502 0.505
H: 0.498 0.747 0.995
H: 0.747 0.498 0.495
Sc: 0.453 0.547 0.250
Sn: 0.125 0.875 0.250
Sn: 0.875 0.125 0.750
Sc: 0.204 0.796 0.750
Sc: 0.796 0.204 0.250

Computed properties:
Total magnetic moment, μB/f.u.: 0.00
Uncorrected energy, eV/atom: -5.33
Symmetry: Fddd, No. 70

Density functional theory data (PBE-GGA) for a relaxed structure of Sc2SnH3.

Unit cell a=3.402 b=6.890 c=7.194 alpha=111.21 beta=90.00 gamma=104.29
Positions (direct):
H: 0.409 0.818 0.388
H: 0.591 0.182 0.612
H: 0.311 0.622 0.539
H: 0.061 0.122 0.402
Sc: 0.528 0.056 0.272
Sn: 0.856 0.712 0.964
H: 0.939 0.878 0.598
Sn: 0.144 0.288 0.036
H: 0.689 0.378 0.461
Sc: 0.189 0.379 0.645
Sc: 0.811 0.621 0.355
Sc: 0.472 0.944 0.728

Computed properties:
Total magnetic moment, μB/f.u.: 0.00
Uncorrected energy, eV/atom: -5.06
Symmetry: C2/m, No. 12

Density functional theory data (PBE-GGA) for a relaxed structure of Sc3Sn2H.

Unit cell a=5.934 b=6.483 c=7.143 alpha=98.16 beta=114.55 gamma=90.00
Positions (direct):
Sn: 0.265 0.458 0.637
H: 0.934 0.750 0.000
H: 0.066 0.250 0.000
Sc: 0.050 0.142 0.247
Sc: 0.599 0.750 0.000
Sc: 0.401 0.250 0.000
Sc: 0.803 0.358 0.753
Sc: 0.950 0.858 0.753
Sn: 0.628 0.042 0.363
Sn: 0.372 0.958 0.637
Sc: 0.197 0.642 0.247
Sn: 0.735 0.542 0.363

Computed properties:
Total magnetic moment, μB/f.u.: 0.00
Uncorrected energy, eV/atom: -5.48
Symmetry: C2/c, No. 15

Density functional theory data (PBE-GGA) for a relaxed structure of Sc2SnH.

Unit cell a=6.272 b=8.076 c=5.767 alpha=90.00 beta=90.00 gamma=90.00
Positions (direct):
Sc: 0.764 0.493 0.037
Sn: 0.021 0.686 0.386
Sc: 0.501 0.659 0.413
Sc: 0.501 0.159 0.087
Sc: 0.764 0.993 0.463
Sn: 0.021 0.186 0.114
H: 0.987 0.073 0.679
Sn: 0.521 0.314 0.614
H: 0.487 0.427 0.179
Sn: 0.521 0.814 0.886
Sc: 0.264 0.007 0.537
H: 0.987 0.573 0.821
Sc: 0.001 0.841 0.913
Sc: 0.001 0.341 0.587
Sc: 0.264 0.507 0.963
H: 0.487 0.927 0.321

Computed properties:
Total magnetic moment, μB/f.u.: 0.00
Uncorrected energy, eV/atom: -5.51
Symmetry: Pna2_1, No. 33